Density functional theory data (PBE-GGA) for a relaxed Cd4Ag15Sn crystal.

Cell: 4.203 4.203 21.127 Å, 90.00 90.00 90.00°
Fractional coordinates of all 20 atoms:
Cd (0.000, 0.000, 0.099)
Cd (0.000, 0.000, 0.299)
Cd (0.000, 0.000, 0.701)
Cd (0.000, 0.000, 0.901)
Ag (0.000, 0.500, 0.000)
Ag (0.000, 0.500, 0.199)
Ag (0.000, 0.500, 0.398)
Ag (0.000, 0.500, 0.602)
Ag (0.000, 0.500, 0.801)
Ag (0.500, 0.000, 0.000)
Ag (0.500, 0.000, 0.199)
Ag (0.500, 0.000, 0.398)
Ag (0.500, 0.000, 0.602)
Ag (0.500, 0.000, 0.801)
Ag (0.500, 0.500, 0.100)
Ag (0.500, 0.500, 0.299)
Ag (0.500, 0.500, 0.500)
Ag (0.500, 0.500, 0.701)
Ag (0.500, 0.500, 0.900)
Sn (0.000, 0.000, 0.500)

Properties
ρ ... 9.73 g/cm³
Total moment ... 0.0 μB per formula unit
Calculated formation energy ... -0.027 eV per atom
Total DFT energy (no corrections) ... -50.97 eV for the cell shown
Space-group type ... P4/mmm (123)

---

Density functional theory data (PBE-GGA) for a relaxed Cd4Ag2Sn crystal.

Cell: 5.509 5.731 5.777 Å, 118.90 99.68 90.74°
Fractional coordinates of all 7 atoms:
Cd (0.073, 0.264, 0.265)
Cd (0.265, 0.814, 0.381)
Cd (0.735, 0.186, 0.619)
Cd (0.927, 0.736, 0.735)
Ag (0.262, 0.381, 0.830)
Ag (0.738, 0.619, 0.170)
Sn (0.500, 0.000, 0.000)

Properties
ρ ... 8.32 g/cm³
Total moment ... 0.0 μB per formula unit
Calculated formation energy ... 0.030 eV per atom
Total DFT energy (no corrections) ... -13.16 eV for the cell shown
Excess energy over the best structure of this formula in the dataset ... 4 meV/atom
Space-group type ... P-1 (2)

---

Density functional theory data (PBE-GGA) for a relaxed CdAg3Sn crystal.

Cell: 5.250 5.250 5.250 Å, 90.00 90.00 90.00°
Fractional coordinates of all 5 atoms:
Cd (0.000, 0.000, 0.000)
Ag (0.000, 0.500, 0.500)
Ag (0.500, 0.000, 0.500)
Ag (0.500, 0.500, 0.000)
Sn (0.500, 0.500, 0.500)

Properties
ρ ... 6.37 g/cm³
Total moment ... 0.0 μB per formula unit
Calculated formation energy ... 0.484 eV per atom
Total DFT energy (no corrections) ... -11.05 eV for the cell shown
Excess energy over the best structure of this formula in the dataset ... 491 meV/atom
Space-group type ... Pm-3m (221)

---

Density functional theory data (PBE-GGA) for a relaxed Cd4Ag5Sn crystal.

Cell: 3.098 3.098 20.882 Å, 90.00 90.00 90.00°
Fractional coordinates of all 10 atoms:
Cd (0.000, 0.000, 0.097)
Cd (0.000, 0.000, 0.292)
Cd (0.000, 0.000, 0.708)
Cd (0.000, 0.000, 0.903)
Ag (0.500, 0.500, 0.000)
Ag (0.500, 0.500, 0.194)
Ag (0.500, 0.500, 0.389)
Ag (0.500, 0.500, 0.611)
Ag (0.500, 0.500, 0.806)
Sn (0.000, 0.000, 0.500)

Properties
ρ ... 9.18 g/cm³
Total moment ... 0.0 μB per formula unit
Calculated formation energy ... -0.023 eV per atom
Total DFT energy (no corrections) ... -22.15 eV for the cell shown
Excess energy over the best structure of this formula in the dataset ... 0 meV/atom
Space-group type ... P4/mmm (123)

---

Density functional theory data (PBE-GGA) for a relaxed Cd2Ag12Sn5 crystal.

Cell: 8.572 8.572 9.301 Å, 104.73 104.73 40.14°
Fractional coordinates of all 19 atoms:
Cd (0.242, 0.758, 0.000)
Cd (0.758, 0.242, 0.000)
Ag (0.033, 0.554, 0.879)
Ag (0.105, 0.105, 0.291)
Ag (0.107, 0.596, 0.392)
Ag (0.404, 0.893, 0.608)
Ag (0.446, 0.967, 0.121)
Ag (0.479, 0.479, 0.644)
Ag (0.521, 0.521, 0.356)
Ag (0.554, 0.033, 0.879)
Ag (0.596, 0.107, 0.392)
Ag (0.893, 0.404, 0.608)
Ag (0.895, 0.895, 0.709)
Ag (0.967, 0.446, 0.121)
Sn (0.000, 0.000, 0.500)
Sn (0.301, 0.301, 0.625)
Sn (0.370, 0.370, 0.130)
Sn (0.630, 0.630, 0.870)
Sn (0.699, 0.699, 0.375)

Properties
ρ ... 8.27 g/cm³
Total moment ... 0.0 μB per formula unit
Calculated formation energy ... 0.122 eV per atom
Total DFT energy (no corrections) ... -53.74 eV for the cell shown
Space-group type ... C2/m (12)

---

Density functional theory data (PBE-GGA) for a relaxed Cd2Ag2Sn crystal.

Cell: 7.783 7.783 7.783 Å, 150.37 150.37 42.40°
Fractional coordinates of all 5 atoms:
Cd (0.103, 0.103, 0.000)
Cd (0.897, 0.897, 0.000)
Ag (0.250, 0.750, 0.500)
Ag (0.750, 0.250, 0.500)
Sn (0.500, 0.500, 0.000)

Properties
ρ ... 8.08 g/cm³
Total moment ... 0.0 μB per formula unit
Calculated formation energy ... 0.102 eV per atom
Total DFT energy (no corrections) ... -11.03 eV for the cell shown
Excess energy over the best structure of this formula in the dataset ... 89 meV/atom
Space-group type ... I4/mmm (139)

---

Density functional theory data (PBE-GGA) for a relaxed SrCd2AgSn crystal.

Cell: 6.909 6.909 6.909 Å, 140.26 139.87 57.75°
Fractional coordinates of all 5 atoms:
Sr (0.000, 0.000, 0.000)
Cd (0.379, 0.379, 0.000)
Cd (0.749, 0.249, 0.500)
Ag (0.241, 0.741, 0.500)
Sn (0.612, 0.612, 0.000)

Properties
ρ ... 6.64 g/cm³
Total moment ... 0.0 μB per formula unit
Calculated formation energy ... -0.289 eV per atom
Total DFT energy (no corrections) ... -11.81 eV for the cell shown
Space-group type ... Imm2 (44)

---

Density functional theory data (PBE-GGA) for a relaxed Sr2Cd4Ag3Sn crystal.

Cell: 4.540 4.540 12.713 Å, 90.00 90.00 90.00°
Fractional coordinates of all 10 atoms:
Sr (0.000, 0.500, 0.249)
Sr (0.500, 0.000, 0.751)
Cd (0.000, 0.000, 0.000)
Cd (0.000, 0.500, 0.643)
Cd (0.500, 0.000, 0.357)
Cd (0.500, 0.500, 0.000)
Ag (0.000, 0.500, 0.859)
Ag (0.500, 0.000, 0.141)
Ag (0.500, 0.500, 0.500)
Sn (0.000, 0.000, 0.500)

Properties
ρ ... 6.76 g/cm³
Total moment ... 0.0 μB per formula unit
Calculated formation energy ... -0.248 eV per atom
Total DFT energy (no corrections) ... -22.06 eV for the cell shown
Space-group type ... P-4m2 (115)

---

Density functional theory data (PBE-GGA) for a relaxed Sr3CdAg6Sn2 crystal.

Cell: 6.335 6.335 9.203 Å, 90.00 90.00 120.00°
Fractional coordinates of all 12 atoms:
Sr (0.000, 0.000, 0.000)
Sr (0.333, 0.667, 0.624)
Sr (0.667, 0.333, 0.376)
Cd (0.000, 0.000, 0.500)
Ag (0.179, 0.358, 0.283)
Ag (0.179, 0.821, 0.283)
Ag (0.358, 0.179, 0.717)
Ag (0.642, 0.821, 0.283)
Ag (0.821, 0.179, 0.717)
Ag (0.821, 0.642, 0.717)
Sn (0.333, 0.667, 0.025)
Sn (0.667, 0.333, 0.975)

Properties
ρ ... 6.54 g/cm³
Total moment ... 0.0 μB per formula unit
Calculated formation energy ... -0.191 eV per atom
Total DFT energy (no corrections) ... -33.37 eV for the cell shown
Space-group type ... P-3m1 (164)

---

Density functional theory data (PBE-GGA) for a relaxed Sr2Cd3Ag4Sn crystal.

Cell: 4.627 4.627 12.088 Å, 90.00 90.00 90.00°
Fractional coordinates of all 10 atoms:
Sr (0.000, 0.500, 0.249)
Sr (0.500, 0.000, 0.751)
Cd (0.000, 0.000, 0.000)
Cd (0.000, 0.500, 0.632)
Cd (0.500, 0.000, 0.368)
Ag (0.000, 0.000, 0.500)
Ag (0.000, 0.500, 0.859)
Ag (0.500, 0.000, 0.141)
Ag (0.500, 0.500, 0.500)
Sn (0.500, 0.500, 0.000)

Properties
ρ ... 6.82 g/cm³
Total moment ... 0.0 μB per formula unit
Calculated formation energy ... -0.233 eV per atom
Total DFT energy (no corrections) ... -23.85 eV for the cell shown
Space-group type ... P-4m2 (115)

---

Density functional theory data (PBE-GGA) for a relaxed SrCdAg2Sn crystal.

Cell: 6.787 6.787 6.787 Å, 139.84 139.27 58.53°
Fractional coordinates of all 5 atoms:
Sr (0.000, 0.000, 0.000)
Cd (0.240, 0.740, 0.500)
Ag (0.613, 0.613, 0.000)
Ag (0.756, 0.256, 0.500)
Sn (0.384, 0.384, 0.000)

Properties
ρ ... 6.81 g/cm³
Total moment ... 0.0 μB per formula unit
Calculated formation energy ... -0.267 eV per atom
Total DFT energy (no corrections) ... -13.64 eV for the cell shown
Space-group type ... Imm2 (44)

---

Density functional theory data (PBE-GGA) for a relaxed Sr2Cd6AgSn crystal.

Cell: 13.376 13.376 13.376 Å, 31.56 31.56 31.56°
Fractional coordinates of all 20 atoms:
Sr (0.106, 0.106, 0.106)
Sr (0.279, 0.279, 0.279)
Sr (0.721, 0.721, 0.721)
Sr (0.894, 0.894, 0.894)
Cd (0.070, 0.673, 0.673)
Cd (0.224, 0.224, 0.635)
Cd (0.224, 0.635, 0.224)
Cd (0.327, 0.327, 0.930)
Cd (0.327, 0.930, 0.327)
Cd (0.365, 0.776, 0.776)
Cd (0.635, 0.224, 0.224)
Cd (0.673, 0.070, 0.673)
Cd (0.673, 0.673, 0.070)
Cd (0.776, 0.365, 0.776)
Cd (0.776, 0.776, 0.365)
Cd (0.930, 0.327, 0.327)
Ag (0.000, 0.000, 0.000)
Ag (0.500, 0.500, 0.500)
Sn (0.425, 0.425, 0.425)
Sn (0.575, 0.575, 0.575)

Properties
ρ ... 6.14 g/cm³
Total moment ... 0.0 μB per formula unit
Calculated formation energy ... -0.140 eV per atom
Total DFT energy (no corrections) ... -34.22 eV for the cell shown
Space-group type ... R-3m (166)

---

Computed D(E_F), in the same sequence as the records: 5.3; 2.0; 2.2; 2.8; 7.1; 1.9; 2.5; 5.1; 3.9; 5.0; 2.4; 11.4 states/eV per cell.